Entry 1:
{
  "formula": "Rb4CoGeTe6",
  "functional": "PBE-GGA",
  "state": "optimized geometry",
  "lattice": [[7.3843, 0.0000, 0.0000], [3.0279, 7.2098, 0.0000], [3.1658, 2.2951, 9.3622]],
  "species": ["Rb", "Rb", "Rb", "Rb", "Co", "Ge", "Te", "Te", "Te", "Te", "Te", "Te"],
  "frac_coords": [[0.0000, 0.0000, 0.0000], [0.2304, 0.3286, 0.2148], [0.4712, 0.7155, 0.4372], [0.7039, 0.0457, 0.6537], [0.9810, 0.4700, 0.6596], [0.7122, 0.5781, 0.0163], [0.0783, 0.5490, 0.8424], [0.1782, 0.1634, 0.6026], [0.5119, 0.9219, 0.0425], [0.6335, 0.4969, 0.8058], [0.7203, 0.3122, 0.2497], [0.9898, 0.6902, 0.4255]],
  "total_energy_ev_per_atom": -3.4182
}

---

Entry 2:
{
  "formula": "FeRe2Pd",
  "functional": "PBE-GGA",
  "state": "optimized geometry",
  "lattice": [[2.7109, -4.7484, 0.0000], [2.7109, 4.7484, 0.0000], [0.0000, 0.0000, 4.3099]],
  "species": ["Fe", "Fe", "Re", "Re", "Re", "Re", "Pd", "Pd"],
  "frac_coords": [[0.1610, 0.8390, 0.7500], [0.8390, 0.1610, 0.2500], [0.1568, 0.3151, 0.7500], [0.3151, 0.1568, 0.2500], [0.6849, 0.8432, 0.7500], [0.8432, 0.6849, 0.2500], [0.3290, 0.6710, 0.2500], [0.6710, 0.3290, 0.7500]],
  "polymorph_energy_mev_per_atom": 0,
  "total_energy_ev_per_atom": -9.5315
}

---

Entry 3:
{
  "formula": "Ta4InSiN2",
  "functional": "PBE-GGA",
  "state": "optimized geometry",
  "lattice": [[3.0424, 0.0000, 0.0000], [-1.5212, 2.6348, 0.0000], [0.0000, 0.0000, 14.2340]],
  "species": ["Ta", "Ta", "Ta", "Ta", "In", "Si", "N", "N"],
  "frac_coords": [[0.0000, 0.0000, 0.1410], [0.0000, 0.0000, 0.8590], [0.6667, 0.3333, 0.3279], [0.6667, 0.3333, 0.6721], [0.0000, 0.0000, 0.5000], [0.6667, 0.3333, 0.0000], [0.3333, 0.6667, 0.2340], [0.3333, 0.6667, 0.7660]],
  "total_energy_ev_per_atom": -9.5284
}

---

Entry 4:
{
  "formula": "Dy3YB2Pb2",
  "functional": "PBE-GGA",
  "state": "optimized geometry",
  "lattice": [[3.6977, 0.0000, 0.0000], [-1.8488, 3.2023, 0.0000], [0.0000, 0.0000, 16.7199]],
  "species": ["Dy", "Dy", "Dy", "Y", "B", "B", "Pb", "Pb"],
  "frac_coords": [[0.0000, 0.0000, 0.0000], [0.0000, 0.0000, 0.3214], [0.3333, 0.6667, 0.4998], [0.3333, 0.6667, 0.8206], [0.6667, 0.3333, 0.4107], [0.6667, 0.3333, 0.9110], [0.0000, 0.0000, 0.6605], [0.3333, 0.6667, 0.1607]],
  "total_energy_ev_per_atom": -5.3354
}

---

Entry 5:
{
  "formula": "NdGaPO",
  "functional": "PBE-GGA",
  "state": "optimized geometry",
  "lattice": [[4.2626, 0.0000, 0.0000], [0.0000, 4.2626, 0.0000], [0.0000, 0.0000, 7.9729]],
  "species": ["Nd", "Nd", "Ga", "Ga", "P", "P", "O", "O"],
  "frac_coords": [[0.2500, 0.2500, 0.1331], [0.7500, 0.7500, 0.8669], [0.2500, 0.7500, 0.5000], [0.7500, 0.2500, 0.5000], [0.2500, 0.2500, 0.6585], [0.7500, 0.7500, 0.3415], [0.2500, 0.7500, 0.0000], [0.7500, 0.2500, 0.0000]],
  "polymorph_energy_mev_per_atom": 0,
  "total_energy_ev_per_atom": -6.1443
}

---

Entry 6:
{
  "formula": "LaPuTe",
  "functional": "PBE-GGA",
  "state": "optimized geometry",
  "lattice": [[0.0000, 3.7299, 3.7299], [3.7299, 0.0000, 3.7299], [3.7299, 3.7299, 0.0000]],
  "species": ["La", "Pu", "Te"],
  "frac_coords": [[0.0000, 0.0000, 0.0000], [0.5000, 0.5000, 0.5000], [0.2500, 0.2500, 0.2500]],
  "polymorph_energy_mev_per_atom": 0,
  "total_energy_ev_per_atom": -7.9456
}

---

Entry 7:
{
  "formula": "ZrInAgTe2Se",
  "functional": "PBE-GGA",
  "state": "optimized geometry",
  "lattice": [[2.0534, -7.4796, 0.0000], [2.0534, 7.4796, 0.0000], [0.0000, 0.0000, 10.5552]],
  "species": ["Zr", "Zr", "In", "In", "Ag", "Ag", "Te", "Te", "Te", "Te", "Se", "Se"],
  "frac_coords": [[0.0000, 0.0000, 0.0000], [0.0000, 0.0000, 0.5000], [0.2573, 0.7427, 0.7500], [0.7427, 0.2573, 0.2500], [0.4645, 0.5355, 0.2500], [0.5355, 0.4645, 0.7500], [0.3591, 0.6409, 0.0385], [0.3591, 0.6409, 0.4615], [0.6409, 0.3591, 0.5385], [0.6409, 0.3591, 0.9615], [0.0740, 0.9260, 0.2500], [0.9260, 0.0740, 0.7500]],
  "total_energy_ev_per_atom": -4.5489
}

---

Entry 8:
{
  "formula": "Cd2Sb2O7",
  "functional": "PBE-GGA",
  "state": "optimized geometry",
  "lattice": [[-3.6311, 5.1235, 3.6972], [3.6311, -5.1235, 3.6972], [3.6311, 5.1235, -3.6972]],
  "species": ["Cd", "Cd", "Cd", "Cd", "Sb", "Sb", "Sb", "Sb", "O", "O", "O", "O", "O", "O", "O", "O", "O", "O", "O", "O", "O", "O"],
  "frac_coords": [[0.0000, 0.0000, 0.0000], [0.5000, 0.0000, 0.0000], [0.5000, 0.0000, 0.5000], [0.5000, 0.5000, 0.5000], [0.0000, 0.0000, 0.5000], [0.0000, 0.5000, 0.0000], [0.0000, 0.5000, 0.5000], [0.5000, 0.5000, 0.0000], [0.0559, 0.2303, 0.4098], [0.0559, 0.6461, 0.8256], [0.1005, 0.8505, 0.2500], [0.3206, 0.2303, 0.6744], [0.3206, 0.6461, 0.0902], [0.3350, 0.7374, 0.5976], [0.3602, 0.2626, 0.0976], [0.6398, 0.7374, 0.9024], [0.6650, 0.2626, 0.4024], [0.6794, 0.3539, 0.9098], [0.6794, 0.7697, 0.3256], [0.8995, 0.1495, 0.7500], [0.9441, 0.3539, 0.1744], [0.9441, 0.7697, 0.5902]],
  "total_energy_ev_per_atom": -5.4015
}

---

Entry 9:
{
  "formula": "CsMo3Pb5",
  "functional": "PBE-GGA",
  "state": "optimized geometry",
  "lattice": [[5.6607, 0.0000, 0.0000], [-2.8303, 4.9023, 0.0000], [0.0000, 0.0000, 9.3559]],
  "species": ["Cs", "Mo", "Mo", "Mo", "Pb", "Pb", "Pb", "Pb", "Pb"],
  "frac_coords": [[0.0000, 0.0000, 0.0000], [0.0000, 0.5000, 0.5000], [0.5000, 0.0000, 0.5000], [0.5000, 0.5000, 0.5000], [0.0000, 0.0000, 0.5000], [0.3333, 0.6667, 0.2328], [0.3333, 0.6667, 0.7672], [0.6667, 0.3333, 0.2328], [0.6667, 0.3333, 0.7672]],
  "total_energy_ev_per_atom": -5.5621
}

---

Entry 10:
{
  "formula": "TbSmPd",
  "functional": "PBE-GGA",
  "state": "optimized geometry",
  "lattice": [[0.0000, 3.4839, 3.4839], [3.4839, 0.0000, 3.4839], [3.4839, 3.4839, 0.0000]],
  "species": ["Tb", "Sm", "Pd"],
  "frac_coords": [[0.0000, 0.0000, 0.0000], [0.5000, 0.5000, 0.5000], [0.7500, 0.7500, 0.7500]],
  "polymorph_energy_mev_per_atom": 0,
  "total_energy_ev_per_atom": -5.2721
}

---

Entry 11:
{
  "formula": "TaBeRePb",
  "functional": "PBE-GGA",
  "state": "optimized geometry",
  "lattice": [[0.0000, 3.2154, 3.2154], [3.2154, 0.0000, 3.2154], [3.2154, 3.2154, 0.0000]],
  "species": ["Ta", "Be", "Re", "Pb"],
  "frac_coords": [[0.0000, 0.0000, 0.0000], [0.2500, 0.2500, 0.2500], [0.7500, 0.7500, 0.7500], [0.5000, 0.5000, 0.5000]],
  "polymorph_energy_mev_per_atom": 0,
  "total_energy_ev_per_atom": -7.3219
}

---

Entry 12:
{
  "formula": "TbPbAuO3",
  "functional": "PBE-GGA",
  "state": "optimized geometry",
  "lattice": [[1.6244, -8.1311, 0.0000], [1.6244, 8.1311, 0.0000], [0.0000, 0.0000, 7.8513]],
  "species": ["Tb", "Tb", "Pb", "Pb", "Au", "Au", "O", "O", "O", "O", "O", "O"],
  "frac_coords": [[0.0000, 0.0000, 0.0000], [0.0000, 0.0000, 0.5000], [0.3141, 0.6859, 0.7500], [0.6859, 0.3141, 0.2500], [0.4099, 0.5901, 0.2500], [0.5901, 0.4099, 0.7500], [0.1278, 0.8722, 0.0795], [0.1278, 0.8722, 0.4205], [0.2769, 0.7231, 0.2500], [0.7231, 0.2769, 0.7500], [0.8722, 0.1278, 0.5795], [0.8722, 0.1278, 0.9205]],
  "total_energy_ev_per_atom": -5.3945
}